The following is a PBE calculation of a geometry-optimized SrPr5Bi6 structure, from Alexandria via LeMat-Bulk.

Its size of the total moment is 0.0 μB per cell. For the density of states at the Fermi level, the calculation gives 9.233 states/eV per cell. For the total energy, the calculation gives -4.9853 eV per atom.

The structure belongs to space group C2/m (No. 12); the cell edges are 8.095, 14.035 and 8.087 Å and the angles 90.00°, 109.52° and 90.00°. Symmetry generates all atoms from Sr at (0.000, 0.000, 0.000), Pr at (0.000, 0.164, 0.500), Pr at (0.000, 0.332, 0.000), Pr at (0.000, 0.500, 0.500), Bi at (0.244, 0.500, 0.252) and Bi at (0.245, 0.330, 0.746).